Below is crystalline Pm3Tl3VO8 at its relaxed geometry, with properties calculated at the GGA+U level.

The structure belongs to space group C2/m (No. 12); the cell edges are 12.0433, 6.9882 and 7.6850 Å and the angles 90.00°, 121.89° and 90.00°. The asymmetric unit holds Pm at (0.0000, 0.0000, 0.0000), Pm at (0.2500, 0.2500, 0.0000), Tl at (0.0000, 0.5000, 0.5000), Tl at (0.2500, 0.2500, 0.5000), V at (0.0000, 0.5000, 0.0000), O at (0.0188, 0.2797, 0.8371), O at (0.1962, 0.5000, 0.1591) and O at (0.2266, 0.0000, 0.1765).

The electronic total energy is -6.722 eV per atom.